1.
9
Lattice="4.226 0.000 0.000 0.000 5.933 3.418 0.000 -5.933 3.418" Properties=species:S:1:pos:R:3 comment="YTm2Al3Si2Pd PBE-GGA relaxed" sg=Amm2 crystal_system=orthorhombic magmom_total_mub_per_fu=0.00 pbc="T T T"
Pd 0.000 0.000 0.028
Al 2.113 -4.508 2.601
Al 2.113 4.508 2.601
Al 2.113 0.000 1.634
Si 2.113 1.997 3.412
Si 2.113 -1.997 3.412
Tm 0.000 -3.451 4.842
Tm 0.000 3.451 4.842
Y 0.000 0.000 3.970



2.
10
Lattice="-3.312 4.684 3.312 3.312 -4.684 3.312 3.312 4.684 -3.312" Properties=species:S:1:pos:R:3 comment="ReAg2IrS6 PBE-GGA relaxed" sg=Fm-3m crystal_system=cubic magmom_total_mub_per_fu=0.66 pbc="T T T"
Ag 0.000 2.342 3.312
Ag 3.312 2.342 0.000
S -1.661 4.684 1.661
S 0.000 7.034 0.000
S 1.651 0.000 1.651
S 1.661 4.684 -1.661
S 1.661 4.684 1.661
S 0.000 2.335 0.000
Re 0.000 0.000 0.000
Ir 0.000 4.684 0.000



3.
3
Lattice="0.000 3.251 3.251 3.251 0.000 3.251 3.251 3.251 0.000" Properties=species:S:1:pos:R:3 comment="PmBeCu PBE-GGA relaxed" sg=F-43m crystal_system=cubic polymorph_energy_mev_per_atom=463.1 magmom_total_mub_per_fu=0.00 pbc="T T T"
Pm 0.000 0.000 0.000
Cu 4.877 4.877 4.877
Be 1.626 1.626 1.626



4.
8
Lattice="6.796 -1.777 0.000 6.796 1.777 0.000 0.000 0.000 6.218" Properties=species:S:1:pos:R:3 comment="MgCdSeO PBE-GGA relaxed" sg=Cmc2_1 crystal_system=orthorhombic polymorph_energy_mev_per_atom=215.4 pbc="T T T"
O 5.567 0.000 0.118
O 8.026 0.000 3.227
Mg 2.211 0.000 2.877
Mg 11.381 0.000 5.986
Se 2.438 0.000 0.251
Se 11.154 0.000 3.360
Cd 7.558 0.000 5.413
Cd 6.034 0.000 2.304



Number 1: electronic total energy -5.54 eV per atom. Number 2: electronic total energy -4.64 eV per atom. Number 3: electronic total energy -3.33 eV per atom. Number 4: electronic total energy -3.97 eV per atom.